No. 1
TbPr2In2Hg2: relaxed, GGA-PBE.

Results
**Size of the total moment**: 0.00 μB per cell
**Density of states at the Fermi level**: 13.80 states/eV per cell
**DFT formation energy**: -0.312 eV/atom

Lattice parameters (Å, degrees): 4.9331 4.9331 28.4044 90.00 90.00 120.00
Space group R-3m (No. 166, hexagonal axes)
Symmetry-distinct sites (fractional):
Tb 0.0000 0.0000 0.0000 (multiplicity 3)
Pr 0.0000 0.0000 0.1274 (multiplicity 6)
In 0.0000 0.0000 0.2611 (multiplicity 6)
Hg 0.0000 0.0000 0.3873 (multiplicity 6)

=====

No. 2
K2CaW: relaxed, GGA-PBE.

Results
**Offset from the most stable computed form**: 26.3 kJ per mole of atoms
**Size of the total moment**: 1.28 μB per cell
**Density of states at the Fermi level**: 3.28 states/eV per cell
**DFT formation energy**: 1.358 eV/atom

Lattice parameters (Å, degrees): 3.058 6.584 6.171 90.00 91.16 90.00
Space group P2/m (No. 10)
Symmetry-distinct sites (fractional):
K 0.207 0.000 0.234 (multiplicity 2)
Ca 0.000 0.500 0.500 (multiplicity 1)
W 0.500 0.500 0.000 (multiplicity 1)

=====

No. 3
FeReBr2: relaxed, GGA-PBE.

Results
**Offset from the most stable computed form**: 19.3 kJ per mole of atoms
**Size of the total moment**: 1.07 μB per cell
**Density of states at the Fermi level**: 2.40 states/eV per cell
**Uncorrected formation energy**: 0.511 eV per atom

Lattice parameters (Å, degrees): 3.030 3.030 8.644 90.00 90.00 90.00
Space group P4mm (No. 99)
Symmetry-distinct sites (fractional):
Fe 0.000 0.000 0.000 (multiplicity 1)
Re 0.500 0.500 0.170 (multiplicity 1)
Br 0.000 0.000 0.380 (multiplicity 1)
Br 0.500 0.500 0.806 (multiplicity 1)

=====

No. 4
Pm3PrDy12: relaxed, GGA-PBE.

Results
**Size of the total moment**: 0.00 μB per cell
**Density of states at the Fermi level**: 22.13 states/eV per cell
**DFT formation energy**: 0.019 eV/atom

Lattice parameters (Å, degrees): 5.051 5.051 20.212 90.00 90.00 90.00
Space group P4/mmm (No. 123)
Symmetry-distinct sites (fractional):
Pm 0.000 0.000 0.000 (multiplicity 1)
Pm 0.000 0.000 0.250 (multiplicity 2)
Pr 0.000 0.000 0.500 (multiplicity 1)
Dy 0.000 0.500 0.125 (multiplicity 4)
Dy 0.000 0.500 0.374 (multiplicity 4)
Dy 0.500 0.500 0.000 (multiplicity 1)
Dy 0.500 0.500 0.249 (multiplicity 2)
Dy 0.500 0.500 0.500 (multiplicity 1)

=====

no.,DFT total energy (eV per atom)
1,-3.2072
2,-2.9299
3,-5.5526
4,-4.6219